(1)
## TaBiSbI2 (PBE-GGA)

Data for TaBiSbI2 after structural relaxation.

Cell: 5.406 5.406 5.696 Å, 90.00 90.00 90.00°
Each line ends with the local moment (μB).
Sites, in units of the cell vectors:
Sb: 0.000 0.000 0.500  -0.07
I: 0.500 0.000 0.000  0.00
I: 0.000 0.500 0.000  0.00
Ta: 0.000 0.000 0.000  0.42
Bi: 0.500 0.500 0.500  0.67

Offset from the most stable computed form (eV/f.u.): 0.00
Uncorrected formation energy (meV/atom): 537

(2)
## TaBiSb2I (PBE-GGA)

Data for TaBiSb2I after structural relaxation.

Cell: 5.496 5.496 5.332 Å, 90.00 90.00 90.00°
Sites, in units of the cell vectors:
I: 0.000 0.000 0.500
Sb: 0.500 0.000 0.000
Sb: 0.000 0.500 0.000
Bi: 0.500 0.500 0.500
Ta: 0.000 0.000 0.000

Offset from the most stable computed form (eV/f.u.): 1.36
Uncorrected formation energy (meV/atom): 541

(3)
## TaBiSb2I (PBE-GGA)

Data for TaBiSb2I after structural relaxation.

Cell: 5.368 5.570 5.368 Å, 90.00 90.00 90.00°
Sites, in units of the cell vectors:
Bi: 0.000 0.500 0.000
Ta: 0.000 0.000 0.000
Sb: 0.000 0.000 0.500
Sb: 0.500 0.000 0.000
I: 0.500 0.500 0.500

Offset from the most stable computed form (eV/f.u.): 0.00
Uncorrected formation energy (meV/atom): 269

Record order is preserved below.
Uncorrected energy: -4.0547; -4.5643; -4.8370 eV/atom